Compound: Li2Ga2Ni3
Source: Alexandria
Functional: GGA-PBE
Structure: relaxed

```
data_Li2Ga2Ni3
_space_group_name_H-M_alt 'P -1'
_space_group_IT_number 2
_cell_length_a 2.674
_cell_length_b 5.554
_cell_length_c 6.538
_cell_angle_alpha 72.73
_cell_angle_beta 89.84
_cell_angle_gamma 76.08
loop_
_space_group_symop_operation_xyz
'x,y,z'
'-x,-y,-z'
loop_
_atom_site_label
_atom_site_fract_x
_atom_site_fract_y
_atom_site_fract_z
_atom_site_occupancy
Li1 0.133 0.233 0.424 1
Ga1 0.407 0.684 0.241 1
Ni1 0.000 0.500 0.000 1
Ni2 0.291 0.920 0.850 1
```

Results
Electronic total energy in eV per atom: -4.12
D(E_F) in states/eV per cell: 3.30
Energy relative to the lowest polymorph listed for this composition in meV per atom: 0